Record 1
Density functional theory data (GGA-PBE) for crystalline In12Bi3O5 at its relaxed geometry.

Computed properties:
uncorrected formation energy	-0.352	eV per atom

a = 15.970 Å, b = 15.970 Å, c = 15.970 Å
α = 90.00°, β = 90.00°, γ = 90.00°
Space group Ia-3d (No. 230)
One atom of each set of equivalent atoms:
In1 0.041 0.052 0.645
Bi1 0.000 0.250 0.125
O1 0.000 0.000 0.000
O2 0.000 0.250 0.375

=====

Record 2
Density functional theory data (GGA-PBE) for crystalline InBiO2 at its relaxed geometry.

Computed properties:
uncorrected formation energy	-0.932	eV per atom

a = 8.296 Å, b = 7.211 Å, c = 6.090 Å
α = 90.00°, β = 112.49°, γ = 90.00°
Space group Cc (No. 9)
One atom of each set of equivalent atoms:
In1 0.000 0.086 0.000
Bi1 0.446 0.107 0.968
O1 0.074 0.361 0.906
O2 0.267 0.044 0.580

=====

Record 3
Density functional theory data (GGA-PBE) for crystalline InBiO2 at its relaxed geometry.

Computed properties:
uncorrected formation energy	-1.214	eV per atom

a = 3.3868 Å, b = 3.3868 Å, c = 13.9662 Å
α = 90.00°, β = 90.00°, γ = 120.00°
Space group P6_3/mmc (No. 194)
One atom of each set of equivalent atoms:
In1 0.0000 0.0000 0.0000
Bi1 0.3333 0.6667 0.2500
O1 0.3333 0.6667 0.0784

=====

Record 4
Density functional theory data (GGA-PBE) for crystalline InBiO2 at its relaxed geometry.

Computed properties:
uncorrected formation energy	-0.865	eV per atom

a = 3.5976 Å, b = 3.5976 Å, c = 6.7866 Å
α = 90.00°, β = 90.00°, γ = 120.00°
Space group P3m1 (No. 156)
One atom of each set of equivalent atoms:
In1 0.0000 0.0000 0.0000
Bi1 0.6667 0.3333 0.5212
O1 0.0000 0.0000 0.3386
O2 0.3333 0.6667 0.7089

=====

Record 5
Density functional theory data (GGA-PBE) for crystalline InBiO2 at its relaxed geometry.

Computed properties:
uncorrected formation energy	-0.732	eV per atom

a = 3.643 Å, b = 3.643 Å, c = 5.051 Å
α = 90.00°, β = 90.00°, γ = 90.00°
Space group P4/mmm (No. 123)
One atom of each set of equivalent atoms:
In1 0.000 0.000 0.000
Bi1 0.500 0.500 0.500
O1 0.000 0.000 0.500
O2 0.500 0.500 0.000

=====

Record 6
Density functional theory data (GGA-PBE) for crystalline In2Bi3O8 at its relaxed geometry.

Computed properties:
uncorrected formation energy	-0.958	eV per atom

a = 6.3415 Å, b = 6.3415 Å, c = 18.6069 Å
α = 90.00°, β = 90.00°, γ = 120.00°
Space group R-3m (No. 166, hexagonal axes)
One atom of each set of equivalent atoms:
In1 0.0000 0.0000 0.0959
Bi1 0.0000 0.0000 0.3187
Bi2 0.0000 0.0000 0.5000
O1 0.0000 0.0000 0.2039
O2 0.0345 0.5172 0.2648

=====

Record 7
Density functional theory data (GGA-PBE) for crystalline InBiO2 at its relaxed geometry.

Computed properties:
uncorrected formation energy	-1.144	eV per atom

a = 3.3700 Å, b = 3.3700 Å, c = 6.9313 Å
α = 90.00°, β = 90.00°, γ = 120.00°
Space group P3m1 (No. 156)
One atom of each set of equivalent atoms:
In1 0.0000 0.0000 0.0000
Bi1 0.3333 0.6667 0.5041
O1 0.3333 0.6667 0.8283
O2 0.6667 0.3333 0.1491

=====

Record 8
Density functional theory data (GGA-PBE) for crystalline InBiO2 at its relaxed geometry.

Computed properties:
uncorrected formation energy	-1.059	eV per atom

a = 14.180 Å, b = 3.459 Å, c = 6.038 Å
α = 90.00°, β = 97.79°, γ = 90.00°
Space group Cm (No. 8)
One atom of each set of equivalent atoms:
In1 0.000 0.000 0.000
In2 0.246 0.500 0.232
Bi1 0.251 0.000 0.756
Bi2 0.498 0.000 0.494
O1 0.079 0.500 0.178
O2 0.082 0.000 0.714
O3 0.414 0.500 0.282
O4 0.419 0.000 0.823

=====

Taking the records one at a time from the top gives magnetic moment values of 0.00, 0.00, 0.00, 0.00, 0.00, 0.00, 0.00, 0.00 μB/cell.